Record 1
AcGeOs2C (GGA-PBE, relaxed); raw total energy = -82.890 eV for the cell shown; volume = 17.71 A^3/atom; M_tot = 0.0 μB/cell
1.0
2.1133 -5.6679 0.0000
2.1133 5.6679 0.0000
0.0000 0.0000 7.3917
Ac Ge Os C
2 2 4 2
Cartesian
2.1133 5.0878 5.5437
2.1133 -5.0878 1.8479
2.1133 3.0501 1.8479
2.1133 -3.0501 5.5437
2.1133 1.8503 4.1502
2.1133 1.8503 6.9373
2.1133 -1.8503 0.4544
2.1133 -1.8503 3.2415
2.1133 0.0000 0.0000
2.1133 0.0000 3.6958

=====

Record 2
Ac2Pa2Ge2C (GGA-PBE, relaxed); raw total energy = -49.400 eV for the cell shown; volume = 26.56 A^3/atom; M_tot = 0.0 μB/cell
1.0
-2.3558 2.3558 8.3758
2.3558 -2.3558 8.3758
2.3558 2.3558 -8.3758
Ac Pa Ge C
2 2 2 1
Cartesian
0.0000 0.0000 2.9083
0.0000 0.0000 13.8432
2.3558 0.0000 0.0000
0.0000 2.3558 0.0000
0.0000 0.0000 6.3019
0.0000 0.0000 10.4496
0.0000 0.0000 0.0000

=====

Record 3
AcGe2Ru2C (GGA-PBE, relaxed); raw total energy = -42.615 eV for the cell shown; volume = 17.08 A^3/atom; M_tot = 0.0 μB/cell
1.0
4.1893 0.0000 0.0000
0.0000 4.1893 0.0000
0.0000 0.0000 5.8394
Ac Ge Ru C
1 2 2 1
Cartesian
0.0000 0.0000 0.0000
2.0947 2.0947 1.3257
2.0947 2.0947 4.5137
0.0000 2.0947 2.9197
2.0947 0.0000 2.9197
0.0000 0.0000 2.9197

=====

| no. | calculated density (g/cm3) |
| --- | --- |
| 1 | 12.98 |
| 2 | 9.59 |
| 3 | 9.50 |